Record 1
Material: PuPd6Pb
Method: DFT, PBE
State: optimized geometry

abc: 4.137 4.137 8.248
angles: 90.00 90.00 90.00
Space group P4/mmm (No. 123)
Unique sites:
Pu (0.000, 0.000, 0.000) (multiplicity 1)
Pd (0.000, 0.500, 0.249) (multiplicity 4)
Pd (0.500, 0.500, 0.000) (multiplicity 1)
Pd (0.500, 0.500, 0.500) (multiplicity 1)
Pb (0.000, 0.000, 0.500) (multiplicity 1)

Results
- density of states at the Fermi level (states/eV per atom) = 2.236
- ΔH_f (0 K) (meV per atom) = -412
- energy above the most stable polymorph in this dataset (meV per atom) = 0.0

Record 2
Material: PuPd9Pb2
Method: DFT, PBE
State: optimized geometry

abc: 4.125 4.125 12.355
angles: 90.00 90.00 90.00
Space group P4/mmm (No. 123)
Unique sites:
Pu (0.000, 0.000, 0.000) (multiplicity 1)
Pd (0.000, 0.500, 0.167) (multiplicity 4)
Pd (0.000, 0.500, 0.500) (multiplicity 2)
Pd (0.500, 0.500, 0.000) (multiplicity 1)
Pd (0.500, 0.500, 0.336) (multiplicity 2)
Pb (0.000, 0.000, 0.334) (multiplicity 2)

Results
- density of states at the Fermi level (states/eV per atom) = 1.431
- ΔH_f (0 K) (meV per atom) = -375

Record 3
Material: PuPdPb2
Method: DFT, PBE
State: optimized geometry

abc: 4.838 4.838 16.999
angles: 90.00 90.00 90.00
Space group I4/mmm (No. 139)
Unique sites:
Pu (0.000, 0.000, 0.137) (multiplicity 4)
Pd (0.000, 0.500, 0.250) (multiplicity 4)
Pb (0.000, 0.000, 0.347) (multiplicity 4)
Pb (0.000, 0.500, 0.000) (multiplicity 4)

Results
- density of states at the Fermi level (states/eV per atom) = 3.398
- ΔH_f (0 K) (meV per atom) = -271
- energy above the most stable polymorph in this dataset (meV per atom) = 0.0

Record 4
Material: Pu2Pd5Pb
Method: DFT, PBE
State: optimized geometry

abc: 6.424 6.424 7.735
angles: 90.00 90.00 90.00
Space group I4mm (No. 107)
Unique sites:
Pu (0.000, 0.500, 0.000) (multiplicity 4)
Pd (0.000, 0.000, 0.013) (multiplicity 2)
Pd (0.215, 0.215, 0.737) (multiplicity 8)
Pb (0.000, 0.000, 0.388) (multiplicity 2)

Results
- density of states at the Fermi level (states/eV per atom) = 3.856
- ΔH_f (0 K) (meV per atom) = -383

| no. | magnetization (μB per cell) |
| --- | --- |
| 1 | 4.7 |
| 2 | 4.5 |
| 3 | 21.8 |
| 4 | 20.5 |